# 1
K4Hg2As2Au, relaxed, DFT GGA-PBE; total DFT energy (no corrections) = -20.47 eV/f.u.; crystal system = monoclinic; E_form = -322 meV per atom; magnetization = 0.70 Bohr magnetons per cell
1.0
6.287 -4.557 0.000
6.287 4.557 0.000
-0.470 0.000 5.364
K Hg As Au
4 2 2 1
Direct
0.103 0.634 0.814
0.366 0.897 0.186
0.634 0.103 0.814
0.897 0.366 0.186
0.368 0.368 0.328
0.632 0.632 0.672
0.185 0.185 0.690
0.815 0.815 0.310
0.000 0.000 0.500

---

# 2
Li6AgBi2, relaxed, DFT GGA-PBE; total DFT energy (no corrections) = -24.84 eV/f.u.; crystal system = monoclinic; E_form = -305 meV per atom; magnetization = 0.00 Bohr magnetons per cell
1.0
7.621 -3.779 0.000
7.621 3.779 0.000
-0.763 0.000 3.404
Li Ag Bi
6 1 2
Direct
0.140 0.523 0.332
0.204 0.796 0.000
0.477 0.860 0.668
0.523 0.140 0.332
0.796 0.204 0.000
0.860 0.477 0.668
0.500 0.500 0.500
0.163 0.163 0.165
0.837 0.837 0.835